Ba2LaPb: optimized geometry, PBEsol. Values from VASP.

Values from the calculation:
**ΔE_f**: -119 meV per atom
**Total magnetization**: 0.00 μB per cell

```
&SYSTEM
  ibrav = 0, nat = 4, ntyp = 3
/
ATOMIC_SPECIES
Ba 137.33 Ba.upf
La 138.91 La.upf
Pb 207.20 Pb.upf
CELL_PARAMETERS angstrom
3.861 0.000 0.000
0.000 3.861 0.000
0.000 0.000 10.889
ATOMIC_POSITIONS crystal
Ba 0.000 0.000 0.217
Ba 0.000 0.000 0.783
La 0.500 0.500 0.500
Pb 0.500 0.500 0.000
```